The following is a PBE-GGA calculation of a geometry-optimized BaMg2Cu structure, from Alexandria.

As for the total energy: -0.165 Ry/atom. The total moment comes out at 0.00 μB per formula unit. The calculation puts the density of states at the Fermi level at 3.043 states/eV per cell. The formation energy is 61 meV/atom.

It has space group P2/m (No. 10), with a = 5.467 Å, b = 4.392 Å, c = 5.509 Å, α = 90.00°, β = 112.82° and γ = 90.00°. The asymmetric unit holds Ba at (0.000, 0.000, 0.000), Mg at (0.332, 0.500, 0.669) and Cu at (0.500, 0.000, 0.500).

=====

The following is a PBE-GGA calculation of a geometry-optimized Cs2ScCo structure, from Alexandria.

As for the total energy: -0.171 Ry/atom. The total moment comes out at 3.34 μB per formula unit. The calculation puts the polymorph energy (0 for the lowest one) at 696 meV per atom. The calculation puts the density of states at the Fermi level at 59.543 states/eV per cell. The formation energy is 1463 meV/atom.

It has space group Fm-3m (No. 225), with a = 9.002 Å, b = 9.002 Å, c = 9.002 Å, α = 90.00°, β = 90.00° and γ = 90.00°. The asymmetric unit holds Cs at (0.250, 0.250, 0.250), Sc at (0.000, 0.000, 0.000) and Co at (0.000, 0.000, 0.500).

=====

The following is a PBE-GGA calculation of a geometry-optimized Cd2PbSI structure, from Alexandria.

As for the total energy: -0.148 Ry/atom. The total moment comes out at 0.00 μB per formula unit. The calculation puts the density of states at the Fermi level at 2.098 states/eV per cell.

It has space group P4/mmm (No. 123), with a = 5.134 Å, b = 5.134 Å, c = 6.045 Å, α = 90.00°, β = 90.00° and γ = 90.00°. The asymmetric unit holds Cd at (0.000, 0.500, 0.000), Pb at (0.000, 0.000, 0.500), S at (0.500, 0.500, 0.000) and I at (0.500, 0.500, 0.500).

=====

The following is a PBE-GGA calculation of a geometry-optimized Ba4Ru structure, from Alexandria.

As for the total energy: -0.218 Ry/atom. The total moment comes out at 2.05 μB per formula unit. The calculation puts the polymorph energy (0 for the lowest one) at 186 meV per atom. The calculation puts the density of states at the Fermi level at 12.863 states/eV per cell. The formation energy is 422 meV/atom.

It has space group Im-3m (No. 229), with a = 7.703 Å, b = 7.703 Å, c = 7.703 Å, α = 90.00°, β = 90.00° and γ = 90.00°. The asymmetric unit holds Ba at (0.250, 0.250, 0.250) and Ru at (0.000, 0.000, 0.000).

=====

The following is a PBE-GGA calculation of a geometry-optimized ErAl2Zn10 structure, from Alexandria.

As for the total energy: -0.150 Ry/atom. The total moment comes out at 0.00 μB per formula unit. The calculation puts the polymorph energy (0 for the lowest one) at 0 meV per atom. The calculation puts the density of states at the Fermi level at 3.862 states/eV per cell. The formation energy is -140 meV/atom.

It has space group P-1 (No. 2), with a = 5.377 Å, b = 6.760 Å, c = 6.778 Å, α = 81.25°, β = 66.84° and γ = 67.16°. The asymmetric unit holds Er at (0.000, 0.000, 0.000), Al at (0.000, 0.000, 0.500), Al at (0.500, 0.000, 0.500), Zn at (0.000, 0.500, 0.000), Zn at (0.001, 0.354, 0.648), Zn at (0.284, 0.216, 0.212), Zn at (0.353, 0.645, 0.647), Zn at (0.497, 0.217, 0.788) and Zn at (0.500, 0.500, 0.000).

=====

The following is a PBE-GGA calculation of a geometry-optimized BeBi2S structure, from Alexandria.

As for the total energy: -0.262 Ry/atom. The total moment comes out at 0.00 μB per formula unit. The calculation puts the polymorph energy (0 for the lowest one) at 0 meV per atom. The calculation puts the density of states at the Fermi level at 6.218 states/eV per cell.

It has space group I-42d (No. 122), with a = 6.059 Å, b = 6.059 Å, c = 12.691 Å, α = 90.00°, β = 90.00° and γ = 90.00°. The asymmetric unit holds Be at (0.000, 0.000, 0.000), Bi at (0.205, 0.250, 0.125) and S at (0.000, 0.000, 0.500).

=====

The following is a PBE-GGA calculation of a geometry-optimized Dy4AgOs structure, from Alexandria.

As for the total energy: -0.407 Ry/atom. The total moment comes out at 0.00 μB per formula unit. The calculation puts the polymorph energy (0 for the lowest one) at 127 meV per atom. The calculation puts the density of states at the Fermi level at 6.311 states/eV per cell. The formation energy is -124 meV/atom.

It has space group P4/mmm (No. 123), with a = 4.862 Å, b = 4.862 Å, c = 7.083 Å, α = 90.00°, β = 90.00° and γ = 90.00°. The asymmetric unit holds Dy at (0.000, 0.500, 0.231), Ag at (0.000, 0.000, 0.500) and Os at (0.500, 0.500, 0.000).

=====

The following is a PBE-GGA calculation of a geometry-optimized ZrTi2GeF structure, from Alexandria.

As for the total energy: -0.427 Ry/atom. The total moment comes out at 4.89 μB per formula unit. The calculation puts the density of states at the Fermi level at 5.142 states/eV per cell.

It has space group P4/mmm (No. 123), with a = 4.804 Å, b = 4.804 Å, c = 5.200 Å, α = 90.00°, β = 90.00° and γ = 90.00°. The asymmetric unit holds Zr at (0.000, 0.000, 0.000), Ti at (0.000, 0.500, 0.500), Ge at (0.000, 0.000, 0.500) and F at (0.500, 0.500, 0.000).